1.
Density functional theory data (PBE) for a geometry-optimized SrTbTl structure.

Cell lengths 5.4575, 5.4575, 4.0099 Å; angles 90.00, 90.00, 120.00 degrees
With the nearest neighbours (Å) after each atom.
Fractional positions:
Sr1 0.0000 0.0000 0.0000  6 Tl 3.57-3.92, 6 Tb 3.67-3.80
Tb1 0.3333 0.6667 0.5297  3 Tl 3.18
Tl1 0.6667 0.3333 0.4201  3 Tb 3.18

- Energy relative to the elements: -0.1215 eV per atom
- Total energy: -3.014 eV/atom
- N(E_F): 2.04 states/eV/cell
- SG: P3m1, No. 156

2.
Density functional theory data (PBE) for a geometry-optimized Sc6Mn2Sb structure.

Cell lengths 7.8745, 7.8745, 7.8745 Å; angles 111.08, 109.86, 107.50 degrees
With the nearest neighbours (Å) after each atom.
Fractional positions:
Sc1 0.0173 0.8122 0.2051  3 Mn 2.63-2.77
Sc2 0.2364 0.5140 0.2776  2 Mn 2.61-2.85
Sc3 0.2364 0.9588 0.7224  2 Mn 2.61-2.85
Sc4 0.2840 0.3114 0.5954  3 Mn 2.78-3.08, 1 Sb 3.07
Sc5 0.2840 0.6886 0.9725  3 Mn 2.78-3.08, 1 Sb 3.07
Sc6 0.3930 0.1878 0.2051  3 Mn 2.63-2.77
Sc7 0.6070 0.8122 0.7949  3 Mn 2.63-2.77
Sc8 0.7160 0.3114 0.0275  3 Mn 2.78-3.08, 1 Sb 3.07
Sc9 0.7160 0.6886 0.4046  3 Mn 2.78-3.08, 1 Sb 3.07
Sc10 0.7636 0.0412 0.2776  2 Mn 2.61-2.85
Sc11 0.7636 0.4860 0.7224  2 Mn 2.61-2.85
Sc12 0.9827 0.1878 0.7949  3 Mn 2.63-2.77
Mn1 0.0000 0.1199 0.1199  1 Mn 2.14
Mn2 0.0000 0.8801 0.8801  1 Mn 2.14
Mn3 0.3876 0.3876 0.0000  1 Mn 2.09
Mn4 0.6124 0.6124 0.0000  1 Mn 2.09
Sb1 0.0000 0.5000 0.5000  8 Sc 2.96-3.07
Sb2 0.5000 0.0000 0.5000  12 Sc 3.15-3.39

- Total energy: -6.979 eV/atom
- Raw formation energy: -262 meV per atom
- N(E_F): 16.21 states/eV/cell
- SG: Immm, No. 71

3.
Density functional theory data (PBE) for a geometry-optimized CuAuCl structure.

Cell lengths 4.4439, 4.4439, 3.0657 Å; angles 90.00, 90.00, 120.00 degrees
With the nearest neighbours (Å) after each atom.
Fractional positions:
Cu1 0.0000 0.0000 0.0000  3 Cl 2.57
Au1 0.3333 0.6667 0.5038  6 Cl 2.98-3.00, 6 Cu 2.98-2.99, 2 Au 3.07
Cl1 0.6667 0.3333 0.9992  3 Cu 2.57

- Total energy: -2.757 eV/atom
- Distance to the lowest polymorph of the same formula: 355.1 meV/atom
- Raw formation energy: 317 meV per atom
- N(E_F): 0.81 states/eV/cell
- SG: P3m1, No. 156

4.
Density functional theory data (PBE) for a geometry-optimized Co4NiPt3 structure.

Cell lengths 3.6614, 3.7917, 14.8986 Å; angles 90.00, 90.00, 90.00 degrees
With the nearest neighbours (Å) after each atom.
Fractional positions:
Co1 0.0000 0.0000 0.1333  4 Co 2.52-2.58, 6 Pt 2.64-2.70, 2 Ni 2.75
Co2 0.0000 0.0000 0.8667  4 Co 2.52-2.58, 6 Pt 2.64-2.70, 2 Ni 2.75
Co3 0.0000 0.5000 0.2507  8 Co 2.52-2.64, 4 Pt 2.57-2.60
Co4 0.0000 0.5000 0.7493  8 Co 2.52-2.64, 4 Pt 2.57-2.60
Co5 0.5000 0.0000 0.2493  8 Co 2.52-2.64, 4 Pt 2.57-2.60
Co6 0.5000 0.0000 0.7507  8 Co 2.52-2.64, 4 Pt 2.57-2.60
Co7 0.5000 0.5000 0.3667  4 Co 2.52-2.58, 6 Pt 2.64-2.70, 2 Ni 2.75
Co8 0.5000 0.5000 0.6333  4 Co 2.52-2.58, 6 Pt 2.64-2.70, 2 Ni 2.75
Ni1 0.0000 0.5000 0.0000  8 Pt 2.64-2.66, 4 Co 2.75
Ni2 0.5000 0.0000 0.5000  8 Pt 2.64-2.66, 4 Co 2.75
Pt1 0.0000 0.0000 0.3702  8 Co 2.57-2.64, 2 Ni 2.66, 2 Pt 2.71
Pt2 0.0000 0.0000 0.6298  8 Co 2.57-2.64, 2 Ni 2.66, 2 Pt 2.71
Pt3 0.0000 0.5000 0.5000  4 Ni 2.64, 4 Co 2.70, 4 Pt 2.71
Pt4 0.5000 0.0000 0.0000  4 Ni 2.64, 4 Co 2.70, 4 Pt 2.71
Pt5 0.5000 0.5000 0.1298  8 Co 2.57-2.64, 2 Ni 2.66, 2 Pt 2.71
Pt6 0.5000 0.5000 0.8702  8 Co 2.57-2.64, 2 Ni 2.66, 2 Pt 2.71

- Energy relative to the elements: -0.0848 eV per atom
- Total energy: -6.626 eV/atom
- N(E_F): 18.30 states/eV/cell
- SG: Immm, No. 71